A plane-wave DFT calculation with PBE was carried out for a relaxed structure of Zn2RuW.

Energy relative to the elements in eV per atom: 0.217
SG: P2/m (10)

Cell lengths 4.377, 2.712, 5.065 Å; angles 78.63, 90.00, 90.00 degrees
Fractional positions:
1 Ru 0.500 0.250 0.250
2 W 0.500 0.750 0.750
3 Zn 0.000 0.055 0.004
4 Zn 0.000 0.445 0.496

---

A plane-wave DFT calculation with PBE was carried out for a relaxed structure of LiTc.

Energy relative to the elements in eV per atom: 1.609
SG: I-43m (217)

Cell lengths 8.480, 8.480, 8.480 Å; angles 90.00, 90.00, 90.00 degrees
Fractional positions:
1 Li 0.201 0.201 0.201
2 Li 0.201 0.799 0.799
3 Li 0.799 0.201 0.799
4 Li 0.799 0.799 0.201
5 Li 0.701 0.701 0.701
6 Li 0.701 0.299 0.299
7 Li 0.299 0.701 0.299
8 Li 0.299 0.299 0.701
9 Tc 0.397 0.397 0.397
10 Tc 0.397 0.603 0.603
11 Tc 0.603 0.397 0.603
12 Tc 0.603 0.603 0.397
13 Tc 0.897 0.897 0.897
14 Tc 0.897 0.103 0.103
15 Tc 0.103 0.897 0.103
16 Tc 0.103 0.103 0.897

---

A plane-wave DFT calculation with PBE was carried out for a relaxed structure of SnH.

SG: F-43m (216)

Cell lengths 5.141, 5.141, 5.141 Å; angles 90.00, 90.00, 90.00 degrees
Fractional positions:
1 Sn 0.000 0.000 0.000
2 Sn 0.000 0.500 0.500
3 Sn 0.500 0.000 0.500
4 Sn 0.500 0.500 0.000
5 H 0.250 0.250 0.250
6 H 0.250 0.750 0.750
7 H 0.750 0.250 0.750
8 H 0.750 0.750 0.250

---

A plane-wave DFT calculation with PBE was carried out for a relaxed structure of Sc2HgN.

Uncorrected formation energy in eV/atom: -1.131
SG: R-3m (166)

Cell lengths 3.270, 3.270, 7.582 Å; angles 77.55, 77.55, 60.00 degrees
Fractional positions:
1 Sc 0.278 0.278 0.166
2 Sc 0.722 0.722 0.834
3 Hg 0.500 0.500 0.500
4 N 0.000 0.000 0.000

---

no.,relative energy among the computed polymorphs (meV per atom)
1,197
2,1515
3,449
4,0